(1)
Below is a geometry-optimized KLa3Al structure, with properties calculated at the GGA-PBE level.

The calculation puts the formation energy from the elements at 0.309 eV/atom. Its space group is Pm-3m (221). Its size of the total moment is 0.0 μB per cell. As for the polymorph energy (0 for the lowest one): 0.000 eV/atom. As for the crystal system: cubic. Its total energy is -3.62 eV/atom.

```
data_KLa3Al
_symmetry_space_group_name_H-M 'P 1'
_symmetry_Int_Tables_number 1
_symmetry_space_group_name_Hall 'P 1'
_cell_length_a 6.0394
_cell_length_b 6.0394
_cell_length_c 6.0394
_cell_angle_alpha 90.00
_cell_angle_beta 90.00
_cell_angle_gamma 90.00
loop_
_atom_site_label
_atom_site_type_symbol
_atom_site_fract_x
_atom_site_fract_y
_atom_site_fract_z
K1 K 0.0000 0.0000 0.0000
La1 La 0.0000 0.5000 0.5000
La2 La 0.5000 0.0000 0.5000
La3 La 0.5000 0.5000 0.0000
Al1 Al 0.5000 0.5000 0.5000
```



(2)
Below is a geometry-optimized K2LaAl structure, with properties calculated at the GGA-PBE level.

The calculation puts the formation energy from the elements at 0.550 eV/atom. Its space group is P4/mmm (123). Its size of the total moment is 0.0 μB per cell. As for the crystal system: tetragonal. Its total energy is -2.17 eV/atom.

```
data_K2LaAl
_symmetry_space_group_name_H-M 'P 1'
_symmetry_Int_Tables_number 1
_symmetry_space_group_name_Hall 'P 1'
_cell_length_a 4.7453
_cell_length_b 4.7453
_cell_length_c 7.1186
_cell_angle_alpha 90.00
_cell_angle_beta 90.00
_cell_angle_gamma 90.00
loop_
_atom_site_label
_atom_site_type_symbol
_atom_site_fract_x
_atom_site_fract_y
_atom_site_fract_z
K1 K 0.0000 0.0000 0.2206
K2 K 0.0000 0.0000 0.7794
La1 La 0.5000 0.5000 0.5000
Al1 Al 0.5000 0.5000 0.0000
```